First-principles (GGA+U) data for a relaxed FeSiOF2 crystal, as listed in Alexandria.

density of states at the Fermi level	0.8	states/eV/cell
volume	61	Å³/f.u.
total magnetization	3.1	μB per cell
SG	P4/mmm (123)
energy relative to the lowest polymorph listed for this composition	0.000	eV/f.u.

abc: 4.2136 4.2136 3.4172
angles: 90.00 90.00 90.00
Fractional coordinates of all 5 atoms:
O1 0.0000 0.0000 0.5000
F1 0.5000 0.0000 0.0000
F2 0.0000 0.5000 0.0000
Si1 0.0000 0.0000 0.0000
Fe1 0.5000 0.5000 0.5000